Record 1
Below is a relaxed NbRuPb2W crystal, with properties calculated at the PBE level.

Results
space-group type = P4/mmm (123)
energy of formation from the pure elements = 153.23 kJ per mole of atoms
calculated total energy = -6.35 eV per atom
total magnetic moment = 0.91 μB per cell
DOS(E_F) = 6.13 states/eV/f.u.
ρ = 10.644 g/cm³

Cell: 5.098 5.098 4.755 Å, 90.00 90.00 90.00°
Fractional coordinates of all 5 atoms:
Nb 0.000 0.000 0.000
Ru 0.500 0.500 0.500
Pb 0.000 0.500 0.500
Pb 0.500 0.000 0.500
W 0.500 0.500 0.000

***

Record 2
Below is a relaxed Ga4Rh3 crystal, with properties calculated at the PBE level.

Results
space-group type = R-3m (166)
energy of formation from the pure elements = -57.69 kJ per mole of atoms
calculated total energy = -5.48 eV per atom
total magnetic moment = 0.00 μB per cell
DOS(E_F) = 3.77 states/eV/f.u.
ρ = 9.107 g/cm³

Cell: 7.257 7.257 7.257 Å, 34.10 34.10 34.10°
Fractional coordinates of all 7 atoms:
Ga 0.118 0.118 0.118
Ga 0.370 0.370 0.370
Ga 0.630 0.630 0.630
Ga 0.882 0.882 0.882
Rh 0.247 0.247 0.247
Rh 0.500 0.500 0.500
Rh 0.753 0.753 0.753

***

Record 3
Below is a relaxed CsCuIF6 crystal, with properties calculated at the PBE level.

Results
space-group type = P1 (1)
calculated total energy = -3.70 eV per atom
energy relative to the elements, uncorrected = -1.726 eV per atom
total magnetic moment = 0.96 μB per cell
ρ = 3.805 g/cm³

Cell: 5.460 5.816 6.515 Å, 67.50 87.02 88.91°
Fractional coordinates of all 9 atoms:
Cs 0.000 0.000 0.000
Cu 0.405 0.360 0.263
I 0.491 0.624 0.621
F 0.156 0.446 0.067
F 0.258 0.611 0.378
F 0.267 0.893 0.618
F 0.532 0.116 0.173
F 0.639 0.336 0.495
F 0.666 0.669 0.866